Compound: Rb2TcOs
Source: Alexandria via LeMat-Bulk
Functional: PBE
Structure: optimized geometry

extended XYZ file:
```
8
Lattice="-6.569 6.569 2.288 6.569 -6.569 2.288 6.569 6.569 -2.288" Properties=species:S:1:pos:R:3 pbc="T T T"
Rb 0.730 3.284 0.572
Rb -3.284 5.839 1.716
Rb -0.730 9.853 0.572
Rb 3.284 7.299 1.716
Tc 0.000 0.000 0.000
Tc 0.000 6.569 1.144
Os 6.569 0.000 1.144
Os 0.000 0.000 2.288
```

## Properties
Calculated total energy   -4.32 eV per atom
DOS at the Fermi energy   1.05 states/eV/atom
Symmetry   I-42d, No. 122